(1)
Material: V2CoH3
Method: DFT, PBE
State: relaxed

Output
calculated total energy: -73.01 eV for the cell shown
space group: C2/m, No. 12

extended XYZ file:
```
12
Lattice="2.350 -4.050 0.000 2.350 4.050 0.000 -1.619 0.000 4.450" Properties=species:S:1:pos:R:3 pbc="T T T"
V 0.000 0.000 0.000
V 1.540 2.695 2.225
V 1.540 0.000 2.225
V 1.540 -2.695 2.225
Co 2.350 1.349 0.000
Co 2.350 -1.349 0.000
H 0.754 1.356 1.100
H -0.026 0.000 3.377
H 0.754 -1.356 1.100
H 2.326 1.356 3.350
H 3.107 0.000 1.074
H 2.326 -1.356 3.350
```

---

(2)
Material: VCo4H3
Method: DFT, PBE
State: relaxed

Output
calculated total energy: -96.43 eV for the cell shown
space group: Cc, No. 9

extended XYZ file:
```
16
Lattice="4.408 -2.247 0.000 4.408 2.247 0.000 -2.338 0.000 6.152" Properties=species:S:1:pos:R:3 pbc="T T T"
V 3.238 1.510 3.076
V 4.408 -1.510 0.000
Co 0.759 0.768 2.474
Co 1.670 0.765 4.940
Co -0.410 -0.768 5.550
Co 4.756 0.742 1.238
Co 2.839 -0.765 1.864
Co 5.617 0.737 3.699
Co 3.587 -0.742 4.314
Co 6.786 -0.737 0.623
H 0.211 0.073 4.127
H 1.380 -0.073 1.051
H 3.395 0.093 0.336
H 2.226 -0.093 3.412
H 6.140 0.033 2.094
H 4.971 -0.033 5.169
```

---

(3)
Material: VCo2H6
Method: DFT, PBE
State: relaxed

Output
calculated total energy: -42.92 eV for the cell shown
space group: C2/m, No. 12

extended XYZ file:
```
9
Lattice="4.210 -1.518 0.000 4.210 1.518 0.000 -3.598 0.000 4.408" Properties=species:S:1:pos:R:3 pbc="T T T"
V 0.000 0.000 0.000
Co -1.235 0.000 3.412
Co 6.057 0.000 0.997
H -0.903 0.000 1.723
H 1.453 0.000 1.306
H 0.377 0.000 3.362
H 4.444 0.000 1.046
H 3.369 0.000 3.103
H 5.725 0.000 2.686
```

---

(4)
Material: VCoH2
Method: DFT, PBE
State: relaxed

Output
relative energy among the computed polymorphs: 0.4623 eV per atom
space group: Fm-3m, No. 225

extended XYZ file:
```
4
Lattice="0.000 2.449 2.449 2.449 0.000 2.449 2.449 2.449 0.000" Properties=species:S:1:pos:R:3 pbc="T T T"
V 0.000 0.000 0.000
Co 2.449 2.449 2.449
H 1.225 1.225 1.225
H 3.674 3.674 3.674
```

---

(5)
Material: VCoH3
Method: DFT, PBE
State: relaxed

Output
calculated total energy: -24.49 eV for the cell shown
space group: Pm-3m, No. 221

extended XYZ file:
```
5
Lattice="3.281 0.000 0.000 0.000 3.281 0.000 0.000 0.000 3.281" Properties=species:S:1:pos:R:3 pbc="T T T"
V 0.000 0.000 0.000
Co 1.640 1.640 1.640
H 0.000 0.000 1.640
H 0.000 1.640 0.000
H 1.640 0.000 0.000
```

---

(6)
Material: V2CoH
Method: DFT, PBE
State: relaxed

Output
relative energy among the computed polymorphs: 0.5966 eV per atom
space group: R-3m, No. 166

extended XYZ file:
```
4
Lattice="1.745 1.007 5.506 -1.745 1.007 5.506 0.000 -2.014 5.506" Properties=species:S:1:pos:R:3 pbc="T T T"
V 0.000 0.000 1.725
V 0.000 0.000 14.794
Co 0.000 0.000 8.259
H 0.000 0.000 0.000
```

---

no.,total magnetic moment (Bohr magnetons per cell)
1,0.000
2,5.768
3,0.672
4,1.251
5,1.473
6,0.000